Computed, not measured: a geometry-optimized Co2NiRuN structure at the GGA-PBE level of DFT.

a b c (Å): 3.7534 3.7534 3.9276
angles (deg): 90.00 90.00 90.00
Each line ends with the local moment (μB).
Sites, in units of the cell vectors:
Ru (0.0000, 0.0000, 0.5000)  0.41
N (0.0000, 0.0000, 0.0000)  0.01
Co (0.0000, 0.5000, 0.0000)  1.32
Co (0.5000, 0.0000, 0.0000)  1.32
Ni (0.5000, 0.5000, 0.5000)  0.78

Results
formation energy (no corrections)	164.5	meV/atom
E	-0.541	Ry/atom
space group	No. 123

---

Computed, not measured: a geometry-optimized CoNiSN2 structure at the GGA-PBE level of DFT.

a b c (Å): 3.4092 3.4092 6.1024
angles (deg): 90.00 90.00 90.00
Each line ends with the local moment (μB).
Sites, in units of the cell vectors:
Ni (0.5000, 0.5000, 0.5000)  0.31
S (0.0000, 0.0000, 0.5000)  0.03
Co (0.0000, 0.0000, 0.0000)  -0.14
N (0.0000, 0.5000, 0.0000)  -0.03
N (0.5000, 0.0000, 0.0000)  -0.03

Results
formation energy (no corrections)	1044.8	meV/atom
E	-0.418	Ry/atom
space group	No. 123

---

Computed, not measured: a geometry-optimized CoNiSN2 structure at the GGA-PBE level of DFT.

a b c (Å): 3.4291 3.4291 7.0609
angles (deg): 90.00 90.00 90.00
Each line ends with the local moment (μB).
Sites, in units of the cell vectors:
Ni (0.0000, 0.0000, 0.0000)  0.02
S (0.0000, 0.0000, 0.5000)  0.18
Co (0.5000, 0.5000, 0.5000)  2.06
N (0.0000, 0.5000, 0.0000)  0.06
N (0.5000, 0.0000, 0.0000)  0.06

Results
formation energy (no corrections)	1280.5	meV/atom
E	-0.401	Ry/atom
space group	No. 123

---

Computed, not measured: a geometry-optimized CoNiSe2N structure at the GGA-PBE level of DFT.

a b c (Å): 4.9384 4.9384 3.3471
angles (deg): 90.00 90.00 90.00
Each line ends with the local moment (μB).
Sites, in units of the cell vectors:
Ni (0.0000, 0.0000, 0.0000)  0.00
Co (0.5000, 0.5000, 0.5000)  2.14
Se (0.0000, 0.5000, 0.0000)  0.05
Se (0.5000, 0.0000, 0.0000)  0.05
N (0.0000, 0.0000, 0.5000)  -0.01

Results
formation energy (no corrections)	772.7	meV/atom
E	-0.357	Ry/atom
space group	No. 123

---

Computed, not measured: a geometry-optimized CoNiSe2N structure at the GGA-PBE level of DFT.

a b c (Å): 4.5017 4.4579 4.5017
angles (deg): 90.00 90.00 90.00
Each line ends with the local moment (μB).
Sites, in units of the cell vectors:
Ni (0.0000, 0.0000, 0.0000)  0.18
Co (0.0000, 0.5000, 0.0000)  2.19
Se (0.0000, 0.0000, 0.5000)  0.03
Se (0.5000, 0.0000, 0.0000)  0.03
N (0.5000, 0.5000, 0.5000)  -0.02

Results
formation energy (no corrections)	1704.7	meV/atom
E	-0.289	Ry/atom
space group	No. 123

---

Computed, not measured: a geometry-optimized CoNiSe2N structure at the GGA-PBE level of DFT.

a b c (Å): 4.8500 4.8500 3.3109
angles (deg): 90.00 90.00 90.00
Sites, in units of the cell vectors:
Ni (0.5000, 0.5000, 0.5000)
Co (0.0000, 0.0000, 0.0000)
Se (0.0000, 0.5000, 0.0000)
Se (0.5000, 0.0000, 0.0000)
N (0.0000, 0.0000, 0.5000)

Results
formation energy (no corrections)	546.1	meV/atom
E	-0.374	Ry/atom
space group	No. 123

---

Across the entries above, DOS(E_F) takes the values 1.188; 0.956; 0.956; 1.055; 1.387; 0.866 states/eV per atom, respectively.